(1)
## Sm2TlO2 (PBE)

Data for crystalline Sm2TlO2 at its relaxed geometry.

The structure belongs to space group I4/mmm (No. 139); the cell edges are 4.001, 4.001 and 13.789 Å and the angles 90.00°, 90.00° and 90.00°. The asymmetric unit holds Sm at (0.000, 0.000, 0.167), Tl at (0.000, 0.000, 0.500) and O at (0.000, 0.500, 0.250).

The density of states at the Fermi level comes out at 0.44 states/eV per atom. The uncorrected formation energy is -2367 meV/atom. The calculation puts the total energy at -33.558 eV per formula unit.

***

(2)
## Sm2SnHPt6 (PBE)

Data for crystalline Sm2SnHPt6 at its relaxed geometry.

The structure belongs to space group Cm (No. 8); the cell edges are 9.976, 5.757 and 7.181 Å and the angles 90.00°, 117.71° and 90.00°. The asymmetric unit holds Sm at (0.000, 0.000, 0.000), Sm at (0.044, 0.500, 0.628), Sn at (0.260, 0.000, 0.777), H at (0.358, 0.500, 0.571), Pt at (0.035, 0.500, 0.093), Pt at (0.234, 0.248, 0.451), Pt at (0.279, 0.256, 0.092) and Pt at (0.486, 0.500, 0.449).

The density of states at the Fermi level comes out at 0.20 states/eV per atom. The calculation puts the total energy at -60.984 eV per formula unit.

***

(3)
## Hf3C2 (PBE)

Data for crystalline Hf3C2 at its relaxed geometry.

The structure belongs to space group R-3m (No. 166, hexagonal axes); the cell edges are 3.2950, 3.2950 and 23.9557 Å and the angles 90.00°, 90.00° and 120.00°. The asymmetric unit holds Hf at (0.0000, 0.0000, 0.0000), Hf at (0.0000, 0.0000, 0.2259) and C at (0.0000, 0.0000, 0.3911).

The density of states at the Fermi level comes out at 0.41 states/eV per atom. The excess energy over the best structure of this formula in the dataset is 38 meV per atom. The calculation puts the total energy at -52.278 eV per formula unit.

***

(4)
## Al4SiNi15 (PBE)

Data for crystalline Al4SiNi15 at its relaxed geometry.

The structure belongs to space group P4/mmm (No. 123); the cell edges are 3.555, 3.555 and 17.749 Å and the angles 90.00°, 90.00° and 90.00°. The asymmetric unit holds Al at (0.000, 0.000, 0.101), Al at (0.000, 0.000, 0.302), Si at (0.000, 0.000, 0.500), Ni at (0.000, 0.500, 0.000), Ni at (0.000, 0.500, 0.201), Ni at (0.000, 0.500, 0.404), Ni at (0.500, 0.500, 0.101), Ni at (0.500, 0.500, 0.303) and Ni at (0.500, 0.500, 0.500).

The density of states at the Fermi level comes out at 1.02 states/eV per atom. The uncorrected formation energy is -434 meV/atom. The calculation puts the total energy at -115.786 eV per formula unit.

***

(5)
## Pr2Al3Pt5 (PBE)

Data for crystalline Pr2Al3Pt5 at its relaxed geometry.

The structure belongs to space group Cmc2_1 (No. 36); the cell edges are 4.242, 25.630 and 6.985 Å and the angles 90.00°, 90.00° and 90.00°. The asymmetric unit holds Pr at (0.000, 0.023, 0.000), Pr at (0.000, 0.328, 0.983), Al at (0.000, 0.136, 0.843), Al at (0.000, 0.282, 0.428), Al at (0.000, 0.451, 0.827), Pt at (0.000, 0.098, 0.326), Pt at (0.000, 0.199, 0.156), Pt at (0.000, 0.228, 0.730), Pt at (0.000, 0.380, 0.541) and Pt at (0.000, 0.449, 0.195).

The density of states at the Fermi level comes out at 0.49 states/eV per atom. The calculation puts the total energy at -61.074 eV per formula unit.

***

(6)
## MnBe2Tl (PBE)

Data for crystalline MnBe2Tl at its relaxed geometry.

The structure belongs to space group F-43m (No. 216); the cell edges are 6.093, 6.093 and 6.093 Å and the angles 90.00°, 90.00° and 90.00°. The asymmetric unit holds Mn at (0.000, 0.000, 0.000), Be at (0.000, 0.000, 0.500), Be at (0.250, 0.250, 0.750) and Tl at (0.250, 0.250, 0.250).

The density of states at the Fermi level comes out at 0.52 states/eV per atom. The excess energy over the best structure of this formula in the dataset is 288 meV per atom. The calculation puts the total energy at -16.279 eV per formula unit.

***

(7)
## La2SiO (PBE)

Data for crystalline La2SiO at its relaxed geometry.

The structure belongs to space group I-42d (No. 122); the cell edges are 6.216, 6.216 and 11.816 Å and the angles 90.00°, 90.00° and 90.00°. The asymmetric unit holds La at (0.179, 0.250, 0.125), Si at (0.000, 0.000, 0.500) and O at (0.000, 0.000, 0.000).

The density of states at the Fermi level comes out at 0.00 states/eV per atom. The excess energy over the best structure of this formula in the dataset is 142 meV per atom. The uncorrected formation energy is -1497 meV/atom. The calculation puts the total energy at -26.223 eV per formula unit.

***

(8)
## NaLaMgAu (PBE)

Data for crystalline NaLaMgAu at its relaxed geometry.

The structure belongs to space group F-43m (No. 216); the cell edges are 7.344, 7.344 and 7.344 Å and the angles 90.00°, 90.00° and 90.00°. The asymmetric unit holds Na at (0.000, 0.000, 0.000), La at (0.250, 0.250, 0.750), Mg at (0.250, 0.250, 0.250) and Au at (0.000, 0.000, 0.500).

The density of states at the Fermi level comes out at 1.59 states/eV per atom. The calculation puts the total energy at -12.305 eV per formula unit.

***

(9)
## PrSi2Sn2Au7 (PBE)

Data for crystalline PrSi2Sn2Au7 at its relaxed geometry.

The structure belongs to space group C2/m (No. 12); the cell edges are 7.024, 6.955 and 11.301 Å and the angles 90.00°, 104.11° and 90.00°. The asymmetric unit holds Pr at (0.000, 0.000, 0.000), Si at (0.212, 0.500, 0.218), Sn at (0.157, 0.000, 0.354), Au at (0.000, 0.500, 0.000), Au at (0.116, 0.500, 0.414) and Au at (0.122, 0.293, 0.809).

The density of states at the Fermi level comes out at 0.43 states/eV per atom. The uncorrected formation energy is -225 meV/atom. The calculation puts the total energy at -49.272 eV per formula unit.

***

(10)
## Sm5DyAg4 (PBE)

Data for crystalline Sm5DyAg4 at its relaxed geometry.

The structure belongs to space group P4/mmm (No. 123); the cell edges are 3.679, 3.679 and 20.014 Å and the angles 90.00°, 90.00° and 90.00°. The asymmetric unit holds Sm at (0.000, 0.000, 0.000), Sm at (0.000, 0.000, 0.189), Sm at (0.000, 0.000, 0.376), Dy at (0.500, 0.500, 0.500), Ag at (0.500, 0.500, 0.094) and Ag at (0.500, 0.500, 0.283).

The density of states at the Fermi level comes out at 0.88 states/eV per atom. The calculation puts the total energy at -41.730 eV per formula unit.

***

(11)
## HfBiPS2 (PBE)

Data for crystalline HfBiPS2 at its relaxed geometry.

The structure belongs to space group P4/mmm (No. 123); the cell edges are 4.847, 4.847 and 5.217 Å and the angles 90.00°, 90.00° and 90.00°. The asymmetric unit holds Hf at (0.000, 0.000, 0.000), Bi at (0.500, 0.500, 0.500), P at (0.000, 0.000, 0.500) and S at (0.000, 0.500, 0.000).

The density of states at the Fermi level comes out at 0.64 states/eV per atom. The excess energy over the best structure of this formula in the dataset is 0 meV per atom. The uncorrected formation energy is -302 meV/atom. The calculation puts the total energy at -29.011 eV per formula unit.

***

(12)
## NdSmEr2 (PBE)

Data for crystalline NdSmEr2 at its relaxed geometry.

The structure belongs to space group R3m (No. 160, hexagonal axes); the cell edges are 3.6016, 3.6016 and 34.7268 Å and the angles 90.00°, 90.00° and 120.00°. The asymmetric unit holds Nd at (0.0000, 0.0000, 0.0000), Sm at (0.0000, 0.0000, 0.1660), Er at (0.0000, 0.0000, 0.4168) and Er at (0.0000, 0.0000, 0.5830).

The density of states at the Fermi level comes out at 1.47 states/eV per atom. The excess energy over the best structure of this formula in the dataset is 1 meV per atom. The calculation puts the total energy at -18.546 eV per formula unit.